Entry from Alexandria: BeSe2BrO after structural relaxation (GGA-PBE).

abc: 4.556 4.556 4.485
angles: 90.00 90.00 90.00
Atoms (fractional coordinates):
O 0.500 0.500 0.500
Be 0.000 0.000 0.000
Se 0.000 0.500 0.000
Se 0.500 0.000 0.000
Br 0.000 0.000 0.500

**ΔE_f (raw)**: 0.75 eV per atom
**E above lowest polymorph**: 0 meV per atom
**Symmetry**: No. 123
**VASP energy**: -13.553 eV for the cell shown
**Calculated volume**: 93.10 Å³/f.u.

Entry from Alexandria: K2Ta2Pt after structural relaxation (GGA-PBE).

abc: 3.805 3.805 8.780
angles: 77.49 77.49 90.00
Each line ends with the local moment (μB).
Atoms (fractional coordinates):
K 0.750 0.250 0.500  0.06
K 0.250 0.750 0.500  0.06
Pt 0.000 0.000 0.000  0.04
Ta 0.431 0.431 0.138  0.05
Ta 0.569 0.569 0.862  0.05

**E above lowest polymorph**: 512 meV per atom
**Symmetry**: No. 139
**Energy of formation**: 1.257 eV/atom
**VASP energy**: -25.654 eV for the cell shown
**Calculated volume**: 120.97 Å³/f.u.